# 1
Here is an optimized crystal structure of K2Te from Alexandria via LeMat-Bulk. Energies are from GGA-PBE.

```
12
Lattice="4.558 0.000 0.000 0.000 4.558 0.000 0.000 0.000 25.855" Properties=species:S:1:pos:R:3 pbc="T T T"
K 0.000 1.140 8.120
K 0.000 1.140 11.271
K 0.000 3.419 14.584
K 0.000 3.419 17.735
K 2.279 1.140 1.656
K 2.279 1.140 4.807
K 2.279 3.419 21.048
K 2.279 3.419 24.198
Te 0.000 1.140 22.623
Te 0.000 3.419 3.232
Te 2.279 1.140 16.159
Te 2.279 3.419 9.696
```

Output
total moment: 0.00 μB per cell
V: 44.77 A^3/atom
space group: I4_1/amd, No. 141
energy relative to the elements, uncorrected: -2.289 eV/f.u.


# 2
Here is an optimized crystal structure of MgAu2F from Alexandria via LeMat-Bulk. Energies are from GGA-PBE.

```
16
Lattice="6.412 0.000 0.000 0.000 6.412 0.000 0.000 0.000 6.412" Properties=species:S:1:pos:R:3 pbc="T T T"
Mg 0.000 0.000 0.000
Mg 0.000 3.206 3.206
Mg 3.206 0.000 3.206
Mg 3.206 3.206 0.000
Au 1.603 1.603 1.603
Au 1.603 1.603 4.809
Au 1.603 4.809 1.603
Au 1.603 4.809 4.809
Au 4.809 1.603 1.603
Au 4.809 1.603 4.809
Au 4.809 4.809 1.603
Au 4.809 4.809 4.809
F 0.000 0.000 3.206
F 0.000 3.206 0.000
F 3.206 0.000 0.000
F 3.206 3.206 3.206
```

Output
total moment: 0.00 μB per cell
V: 16.48 A^3/atom
space group: Fm-3m, No. 225
energy relative to the elements, uncorrected: -2.156 eV/f.u.


# 3
Here is an optimized crystal structure of PmY2In2 from Alexandria via LeMat-Bulk. Energies are from GGA-PBE.

```
5
Lattice="5.287 0.000 0.000 -2.644 4.579 0.000 0.000 0.000 6.504" Properties=species:S:1:pos:R:3 pbc="T T T"
Pm 0.000 0.000 0.000
Y 0.000 3.053 4.291
Y 2.644 1.526 2.213
In 0.000 3.053 1.168
In 2.644 1.526 5.335
```

Output
total moment: 0.00 μB per cell
V: 31.49 A^3/atom
space group: P-3m1, No. 164
formation energy: -23.6 kJ/mol of atoms


# 4
Here is an optimized crystal structure of Tb2EuSe from Alexandria via LeMat-Bulk. Energies are from GGA-PBE.

```
12
Lattice="3.827 0.000 0.000 -1.913 3.314 0.000 0.000 0.000 31.363" Properties=species:S:1:pos:R:3 pbc="T T T"
Tb 0.000 0.000 3.475
Tb 0.000 0.000 27.888
Tb 0.000 2.209 17.434
Tb 0.000 2.209 24.384
Tb 1.913 1.105 6.979
Tb 1.913 1.105 13.929
Eu 0.000 0.000 0.000
Eu 0.000 2.209 20.909
Eu 1.913 1.105 10.454
Se 0.000 0.000 15.682
Se 0.000 2.209 5.227
Se 1.913 1.105 26.136
```

Output
total moment: 22.39 μB per cell
V: 33.15 A^3/atom
space group: R-3m, No. 166
energy relative to the elements, uncorrected: -2.541 eV/f.u.


# 5
Here is an optimized crystal structure of Rb2SrSb from Alexandria via LeMat-Bulk. Energies are from GGA-PBE.

```
16
Lattice="5.165 0.000 0.000 0.000 5.165 0.000 0.000 0.000 27.927" Properties=species:S:1:pos:R:3 pbc="T T T"
Rb 1.154 1.291 3.491
Rb 1.291 3.736 10.473
Rb 1.291 4.011 24.436
Rb 1.429 1.291 17.454
Rb 3.736 3.874 17.454
Rb 3.874 1.154 24.436
Rb 3.874 1.429 10.473
Rb 4.011 3.874 3.491
Sr 0.000 0.000 13.963
Sr 0.000 2.582 20.945
Sr 2.582 0.000 6.982
Sr 2.582 2.582 0.000
Sb 0.000 0.000 0.000
Sb 0.000 2.582 6.982
Sb 2.582 0.000 20.945
Sb 2.582 2.582 13.963
```

Output
total moment: 2.41 μB per cell
V: 46.56 A^3/atom
space group: I-42d, No. 122
energy relative to the elements, uncorrected: -0.584 eV/f.u.


# 6
Here is an optimized crystal structure of Mg3ZrTc from Alexandria via LeMat-Bulk. Energies are from GGA-PBE.

```
5
Lattice="4.874 0.000 0.000 0.000 4.874 0.000 0.000 0.000 4.874" Properties=species:S:1:pos:R:3 pbc="T T T"
Mg 0.000 0.000 2.437
Mg 0.000 2.437 0.000
Mg 2.437 0.000 0.000
Zr 2.437 2.437 2.437
Tc 0.000 0.000 0.000
```

Output
total moment: 0.00 μB per cell
V: 23.16 A^3/atom
space group: Pm-3m, No. 221
formation energy: 78.3 kJ/mol of atoms


# 7
Here is an optimized crystal structure of TePtRh from Alexandria via LeMat-Bulk. Energies are from GGA-PBE.

```
12
Lattice="6.220 0.000 0.000 0.000 6.220 0.000 0.000 0.000 6.220" Properties=species:S:1:pos:R:3 pbc="T T T"
Te 0.000 0.000 0.000
Te 0.000 3.110 3.110
Te 3.110 0.000 3.110
Te 3.110 3.110 0.000
Pt 0.000 0.000 3.110
Pt 0.000 3.110 0.000
Pt 3.110 0.000 0.000
Pt 3.110 3.110 3.110
Rh 1.555 1.555 4.665
Rh 1.555 4.665 1.555
Rh 4.665 1.555 1.555
Rh 4.665 4.665 4.665
```

Output
total moment: 0.00 μB per cell
V: 20.05 A^3/atom
space group: F-43m, No. 216
energy relative to the elements, uncorrected: 0.086 eV/f.u.


# 8
Here is an optimized crystal structure of AlAg3Bi from Alexandria via LeMat-Bulk. Energies are from GGA-PBE.

```
5
Lattice="4.909 0.000 0.000 0.000 4.909 0.000 0.000 0.000 4.909" Properties=species:S:1:pos:R:3 pbc="T T T"
Al 0.000 0.000 0.000
Ag 0.000 0.000 2.455
Ag 0.000 2.455 0.000
Ag 2.455 0.000 0.000
Bi 2.455 2.455 2.455
```

Output
total moment: 0.00 μB per cell
V: 23.66 A^3/atom
space group: Pm-3m, No. 221
formation energy: 39.0 kJ/mol of atoms


The evaluated VASP energy for the records listed, in turn: -30.50, -48.71, -24.38, -76.68, -33.29, -19.64, -65.79, -14.16 eV for the cell shown.